Entry from Alexandria via LeMat-Bulk: a geometry-optimized LiYIn2 structure (GGA-PBE).

Cell lengths 5.1081, 5.1081, 5.1081 Å; angles 60.00, 60.00, 60.00 degrees
With the nearest neighbours (Å) after each atom.
Element x y z (fractional)
In 0.0000 0.0000 0.0000  4 In 3.13, 4 Y 3.13
In 0.2500 0.2500 0.2500  4 In 3.13, 4 Li 3.13
Li 0.5000 0.5000 0.5000  4 In 3.13, 4 Y 3.13
Y 0.7500 0.7500 0.7500  4 Li 3.13, 4 In 3.13

Properties
formation energy from the elements	-220	meV/atom
symmetry	No. 216
electronic total energy	-0.1354	Ha/atom